Compound: AlCo2O
Source: Alexandria
Functional: GGA+U
Structure: relaxed

a b c (Å): 5.802 5.802 5.802
angles (deg): 127.61 127.61 77.25
Fractional positions:
Al 0.000 0.000 0.000
Al 0.750 0.250 0.500
Co 0.219 0.625 0.094
Co 0.375 0.469 0.594
Co 0.531 0.125 0.906
Co 0.875 0.781 0.406
O 0.250 0.750 0.500
O 0.500 0.500 0.000

Output
Symmetry: I-42d
ρ (g/cm³): 4.5
Crystal system: tetragonal
Electronic total energy (eV per atom): -4.645